# Ta5Co7, optimized geometry, DFT PBE
# Magnetization, μB per formula unit: 8.72
# E above lowest polymorph, eV/atom: 0.3820
# Mass density, Mg/m³: 12.011
data_Ta5Co7
_space_group_name_H-M_alt 'P 63/m m c'
_space_group_IT_number 194
_space_group_name_Hall '-P 6c 2c'
_cell_length_a 5.0111
_cell_length_b 5.0111
_cell_length_c 16.7483
_cell_angle_alpha 90.00
_cell_angle_beta 90.00
_cell_angle_gamma 120.00
loop_
_atom_site_label
_atom_site_fract_x
_atom_site_fract_y
_atom_site_fract_z
_atom_site_occupancy
Ta1 0.1656 0.3313 0.2500 1
Ta2 0.3333 0.6667 0.1104 1
Co1 0.0000 0.0000 0.0945 1
Co2 0.0000 0.5000 0.0000 1
Co3 0.3333 0.6667 0.6492 1


# LaSm2IrO6, optimized geometry, DFT PBE
# Magnetization, μB per formula unit: 0.01
# E above lowest polymorph, eV/atom: 0.0505
# Mass density, Mg/m³: 8.450
data_LaSm2IrO6
_space_group_name_H-M_alt 'P -1'
_space_group_IT_number 2
_cell_length_a 5.5715
_cell_length_b 5.8254
_cell_length_c 5.8559
_cell_angle_alpha 91.33
_cell_angle_beta 118.31
_cell_angle_gamma 116.45
loop_
_space_group_symop_operation_xyz
'x,y,z'
'-x,-y,-z'
loop_
_atom_site_label
_atom_site_fract_x
_atom_site_fract_y
_atom_site_fract_z
_atom_site_occupancy
La1 0.0000 0.0000 0.0000 1
Sm1 0.4869 0.7033 0.2589 1
Ir1 0.0000 0.5000 0.5000 1
O1 0.1597 0.3644 0.8350 1
O2 0.1699 0.3373 0.3485 1
O3 0.4444 0.8735 0.7120 1


# GdLuIn2Pt4, optimized geometry, DFT PBE
# Magnetization, μB per formula unit: 0.01
# Mass density, Mg/m³: 13.684
# Total DFT energy (no corrections), eV/atom: -5.82
data_GdLuIn2Pt4
_space_group_name_H-M_alt 'P -6 m 2'
_space_group_IT_number 187
_space_group_name_Hall 'P -6 2'
_cell_length_a 4.5806
_cell_length_b 4.5806
_cell_length_c 8.9637
_cell_angle_alpha 90.00
_cell_angle_beta 90.00
_cell_angle_gamma 120.00
loop_
_atom_site_label
_atom_site_fract_x
_atom_site_fract_y
_atom_site_fract_z
_atom_site_occupancy
Gd1 0.0000 0.0000 0.0000 1
Lu1 0.6667 0.3333 0.5000 1
In1 0.3333 0.6667 0.2521 1
Pt1 0.0000 0.0000 0.3451 1
Pt2 0.6667 0.3333 0.1627 1


# SmGd2Tl3Cu3, optimized geometry, DFT PBE
# Magnetization, μB per formula unit: 0.00
# Mass density, Mg/m³: 10.492
# Total DFT energy (no corrections), eV/atom: -3.86
data_SmGd2Tl3Cu3
_space_group_name_H-M_alt 'A m m 2'
_space_group_IT_number 38
_cell_length_a 3.9339
_cell_length_b 13.2968
_cell_length_c 7.6771
_cell_angle_alpha 90.00
_cell_angle_beta 90.00
_cell_angle_gamma 90.00
loop_
_space_group_symop_operation_xyz
'x,y,z'
'-x,-y,z'
'-x,y,z'
'x,-y,z'
'x,y+1/2,z+1/2'
'-x,-y+1/2,z+1/2'
'-x,y+1/2,z+1/2'
'x,-y+1/2,z+1/2'
loop_
_atom_site_label
_atom_site_fract_x
_atom_site_fract_y
_atom_site_fract_z
_atom_site_occupancy
Sm1 0.0000 0.0000 0.0000 1
Gd1 0.0000 0.2038 0.6113 1
Tl1 0.5000 0.0000 0.6684 1
Tl2 0.5000 0.1310 0.2781 1
Cu1 0.0000 0.0000 0.4088 1
Cu2 0.5000 0.1678 0.9075 1


Which of these has the highest magnetization? Ta5Co7